Record 1
The following is a DFT calculation (PBE) of a geometry-optimized YMo2 structure.

a b c (Å): 4.1100 4.1100 4.7454
angles (deg): 90.00 90.00 120.00
Positions (direct):
1 Mo 0.6667 0.3333 0.5000
2 Mo 0.3333 0.6667 0.5000
3 Y 0.0000 0.0000 0.0000

Summary:
calculated total energy	-8.906	eV per atom
energy relative to the elements	0.47	eV per atom

***

Record 2
The following is a DFT calculation (PBE) of a geometry-optimized Na2CoSBr structure.

a b c (Å): 5.6841 4.0066 5.6841
angles (deg): 90.00 90.00 90.00
Last column: magnetic moment on the atom in μB.
Positions (direct):
1 Br 0.5000 0.5000 0.5000  0.00
2 S 0.0000 0.5000 0.0000  0.01
3 Na 0.5000 0.0000 0.0000  0.00
4 Na 0.0000 0.0000 0.5000  0.00
5 Co 0.0000 0.0000 0.0000  0.66

Summary:
calculated total energy	-3.666	eV per atom

***

Record 3
The following is a DFT calculation (PBE) of a geometry-optimized Bi2Pb2I structure.

a b c (Å): 9.4285 9.4285 4.0806
angles (deg): 90.00 90.00 90.00
Positions (direct):
1 Pb 0.1519 0.6519 0.5000
2 Pb 0.8481 0.3481 0.5000
3 Pb 0.3481 0.1519 0.5000
4 Pb 0.6519 0.8481 0.5000
5 I 0.5000 0.5000 0.0000
6 I 0.0000 0.0000 0.0000
7 Bi 0.8797 0.6203 0.0000
8 Bi 0.6203 0.1203 0.0000
9 Bi 0.3797 0.8797 0.0000
10 Bi 0.1203 0.3797 0.0000

Summary:
calculated total energy	-3.325	eV per atom

***

Record 4
The following is a DFT calculation (PBE) of a geometry-optimized InCoIr4 structure.

a b c (Å): 5.1960 5.1960 5.1960
angles (deg): 60.00 60.00 60.00
Last column: magnetic moment on the atom in μB.
Positions (direct):
1 Ir 0.3752 0.8744 0.3752  0.28
2 Ir 0.8744 0.3752 0.3752  0.28
3 Ir 0.3752 0.3752 0.8744  0.28
4 Ir 0.3752 0.3752 0.3752  0.28
5 Co 0.7500 0.7500 0.7500  2.07
6 In 0.0000 0.0000 0.0000  -0.03

Summary:
calculated total energy	-7.092	eV per atom
energy relative to the elements	0.46	eV per atom

***

Record 5
The following is a DFT calculation (PBE) of a geometry-optimized Sr3Al5 structure.

a b c (Å): 10.6322 10.6322 4.9606
angles (deg): 90.00 90.00 120.00
Positions (direct):
1 Sr 0.3596 0.0000 0.7500
2 Sr 0.3596 0.3596 0.2500
3 Sr 0.0000 0.6404 0.2500
4 Sr 0.6404 0.6404 0.7500
5 Sr 0.6404 0.0000 0.2500
6 Sr 0.0000 0.3596 0.7500
7 Al 0.0000 0.1452 0.2500
8 Al 0.8548 0.0000 0.7500
9 Al 0.3333 0.6667 0.0000
10 Al 0.8548 0.8548 0.2500
11 Al 0.6667 0.3333 0.0000
12 Al 0.6667 0.3333 0.5000
13 Al 0.0000 0.8548 0.7500
14 Al 0.3333 0.6667 0.5000
15 Al 0.1452 0.1452 0.7500
16 Al 0.1452 0.0000 0.2500

Summary:
calculated total energy	-3.026	eV per atom
energy relative to the elements	-0.06	eV per atom

***

Record 6
The following is a DFT calculation (PBE) of a geometry-optimized CaReN3 structure.

a b c (Å): 4.1791 5.4440 3.6212
angles (deg): 88.30 125.24 90.00
Positions (direct):
1 N 0.2691 0.8013 0.1138
2 N 0.6240 0.8013 0.1138
3 N 0.7564 0.3195 0.7335
4 Ca 0.1353 0.1223 0.4913
5 Re 0.7411 0.6451 0.7029

Summary:
calculated total energy	-8.172	eV per atom